# PBE ReOs3Ru, optimized geometry
# Mass density ... 19.1 Mg/m³
# Energy of formation ... 0.9 eV/f.u.
# Energy above the lowest structure with this stoichiometry ... 0.0 meV/atom
data_ReOs3Ru
_cell_length_a 2.750
_cell_length_b 6.432
_cell_length_c 8.574
_cell_angle_alpha 93.57
_cell_angle_beta 99.22
_cell_angle_gamma 90.05
_space_group_name_H-M_alt 'P -1'
_space_group_IT_number 2
_space_group_name_Hall '-P 1'
loop_
_atom_site_label
_atom_site_fract_x
_atom_site_fract_y
_atom_site_fract_z
Re1 0.112 0.087 0.224
Os1 0.078 0.496 0.158
Os2 0.296 0.635 0.593
Os3 0.486 0.202 0.972
Ru1 0.325 0.221 0.649